DFT (PBE-GGA) results for an optimized crystal structure of PuZr.

abc: 5.3581 3.1596 5.7034
angles: 90.00 90.00 90.00
Atoms (fractional coordinates):
Pu  0.2500  0.0000  0.1467
Pu  0.7500  0.0000  0.8533
Zr  0.2500  0.5000  0.6393
Zr  0.7500  0.5000  0.3607

theoretical density	11.5	Mg/m³
E_form	0.04	eV per atom
total DFT energy (no corrections)	-11.29	eV/atom

DFT (PBE-GGA) results for an optimized crystal structure of TbTcGe.

abc: 4.4832 4.4832 4.4832
angles: 60.00 60.00 60.00
Atoms (fractional coordinates):
Tb  0.0000  0.0000  0.0000
Tc  0.5000  0.5000  0.5000
Ge  0.2500  0.2500  0.2500

theoretical density	8.6	Mg/m³
total DFT energy (no corrections)	-6.56	eV/atom

DFT (PBE-GGA) results for an optimized crystal structure of ThAl3.

abc: 6.5308 6.5308 4.6256
angles: 90.00 90.00 120.00
Atoms (fractional coordinates):
Th  0.3333  0.6667  0.2500
Th  0.6667  0.3333  0.7500
Al  0.1403  0.2806  0.7500
Al  0.1403  0.8597  0.7500
Al  0.2806  0.1403  0.2500
Al  0.7194  0.8597  0.7500
Al  0.8597  0.1403  0.2500
Al  0.8597  0.7194  0.2500

theoretical density	6.1	Mg/m³
total DFT energy (no corrections)	-5.06	eV/atom

DFT (PBE-GGA) results for an optimized crystal structure of Mg2SnPt.

abc: 4.7347 4.7347 4.7347
angles: 60.00 60.00 60.00
Atoms (fractional coordinates):
Mg  0.0000  0.0000  0.0000
Mg  0.2500  0.2500  0.2500
Sn  0.5000  0.5000  0.5000
Pt  0.7500  0.7500  0.7500

theoretical density	8.0	Mg/m³
total DFT energy (no corrections)	-3.66	eV/atom

DFT (PBE-GGA) results for an optimized crystal structure of Gd2TmHg5.

abc: 5.1128 6.4208 6.4208
angles: 69.93 90.00 90.00
Atoms (fractional coordinates):
Gd  0.0000  0.0000  0.0000
Gd  0.5000  0.3034  0.3034
Tm  0.5000  0.7467  0.7467
Hg  0.0000  0.5001  0.9961
Hg  0.0000  0.5024  0.5024
Hg  0.0000  0.9961  0.5001
Hg  0.5000  0.2550  0.8048
Hg  0.5000  0.8048  0.2550

theoretical density	12.5	Mg/m³
E_form	-0.43	eV per atom
total DFT energy (no corrections)	-2.33	eV/atom

DFT (PBE-GGA) results for an optimized crystal structure of Sm2CuSn6.

abc: 11.5835 11.5835 4.5321
angles: 90.00 90.00 157.80
Atoms (fractional coordinates):
Sm  0.1757  0.8243  0.0000
Sm  0.8243  0.1757  0.0000
Cu  0.5000  0.5000  0.5000
Sn  0.0702  0.9298  0.5000
Sn  0.2938  0.7062  0.5000
Sn  0.4306  0.5694  0.0000
Sn  0.5694  0.4306  0.0000
Sn  0.7062  0.2938  0.5000
Sn  0.9298  0.0702  0.5000

theoretical density	7.8	Mg/m³
total DFT energy (no corrections)	-4.57	eV/atom

> Among the records above, which one has the highest theoretical density?

Gd2TmHg5

> Number 6 is which compound?

Sm2CuSn6